This record from Alexandria via LeMat-Bulk describes an optimized crystal structure of HoNpIr2. The functional is GGA-PBE.

Values from the calculation:
Energy relative to the elements (eV/atom): -0.53

abc: 4.9957 4.9957 3.1807
angles: 90.00 90.00 90.00
Last column: nearest neighbours and their distance in Å.
Space group P4/mmm (No. 123)
Unique sites:
Ho: 0.0000 0.0000 0.0000 (multiplicity 1)  8 Ir 2.96, 2 Ho 3.18
Np: 0.5000 0.5000 0.0000 (multiplicity 1)  8 Ir 2.96, 2 Np 3.18
Ir: 0.0000 0.5000 0.5000 (multiplicity 2)  4 Ho 2.96, 4 Np 2.96, 2 Ir 3.18